[1]
Density functional theory data (PBE-GGA) for a geometry-optimized Pu2IrN structure.

**V**: 18.5 Å³ per atom
**DOS at the Fermi energy**: 12.14 states/eV/cell
**Energy relative to the lowest polymorph listed for this composition**: 0.0000 eV/atom

Cell lengths 3.5978, 3.5978, 6.9142 Å; angles 74.92, 74.92, 60.00 degrees
Site moments in Bohr magnetons follow the coordinates.
Atoms (fractional coordinates):
Pu  0.7634  0.7634  0.7097  5.01
Pu  0.2366  0.2366  0.2903  5.01
N  0.5000  0.5000  0.5000  -0.21
Ir  0.0000  0.0000  0.0000  -0.48

=====

[2]
Density functional theory data (PBE-GGA) for a geometry-optimized PuIrN structure.

**Final energy**: -66.7 eV/cell
**V**: 16.0 Å³ per atom
**DOS at the Fermi energy**: 16.63 states/eV/cell

Cell lengths 4.9407, 4.9407, 3.9251 Å; angles 90.00, 90.00, 90.00 degrees
Site moments in Bohr magnetons follow the coordinates.
Atoms (fractional coordinates):
Pu  0.0000  0.0000  0.0000  4.83
Pu  0.5000  0.5000  0.0000  4.83
N  0.5000  0.0000  0.0004  -0.14
N  0.0000  0.5000  0.9996  -0.14
Ir  0.0000  0.5000  0.4996  -0.28
Ir  0.5000  0.0000  0.5004  -0.28

=====

[3]
Density functional theory data (PBE-GGA) for a geometry-optimized PuSiIrN structure.

**Final energy**: -81.9 eV/cell
**V**: 15.8 Å³ per atom
**DOS at the Fermi energy**: 17.66 states/eV/cell

Cell lengths 3.9517, 3.9517, 8.0860 Å; angles 90.00, 90.00, 90.00 degrees
Site moments in Bohr magnetons follow the coordinates.
Atoms (fractional coordinates):
N  0.5000  0.0000  0.8783  -0.14
N  0.0000  0.5000  0.1217  -0.14
Si  0.0000  0.5000  0.3387  -0.01
Si  0.5000  0.0000  0.6613  -0.01
Pu  0.0000  0.5000  0.8433  5.11
Pu  0.5000  0.0000  0.1567  5.11
Ir  0.0000  0.0000  0.5000  -0.03
Ir  0.5000  0.5000  0.5000  -0.03

=====

[4]
Density functional theory data (PBE-GGA) for a geometry-optimized SmPu2IrN4 structure.

**Final energy**: -164.8 eV/cell
**V**: 14.4 Å³ per atom
**DOS at the Fermi energy**: 26.52 states/eV/cell

Cell lengths 3.3752, 6.0639, 11.7207 Å; angles 90.00, 90.00, 106.16 degrees
Site moments in Bohr magnetons follow the coordinates.
Atoms (fractional coordinates):
Pu  0.3704  0.7407  0.5516  4.28
Pu  0.6296  0.2593  0.4484  4.28
Pu  0.6296  0.2593  0.0516  4.28
Pu  0.3704  0.7407  0.9484  4.28
N  0.0000  0.0000  0.5000  -0.25
N  0.2715  0.5429  0.3849  -0.16
N  0.4554  0.9107  0.7500  -0.08
N  0.2715  0.5429  0.1151  -0.16
N  0.7285  0.4571  0.8849  -0.16
N  0.7285  0.4571  0.6151  -0.16
N  0.5446  0.0893  0.2500  -0.08
N  0.0000  0.0000  0.0000  -0.25
Ir  0.8490  0.6980  0.7500  -0.23
Ir  0.1510  0.3020  0.2500  -0.23
Sm  0.1106  0.2213  0.7500  0.01
Sm  0.8894  0.7787  0.2500  0.01

=====

[5]
Density functional theory data (PBE-GGA) for a geometry-optimized Sm2PuIrN4 structure.

**Final energy**: -144.5 eV/cell
**V**: 14.8 Å³ per atom
**DOS at the Fermi energy**: 11.96 states/eV/cell

Cell lengths 3.3821, 6.1083, 11.9430 Å; angles 90.00, 90.00, 106.07 degrees
Site moments in Bohr magnetons follow the coordinates.
Atoms (fractional coordinates):
Sm  0.6303  0.2606  0.0480  0.02
Sm  0.3697  0.7394  0.5480  0.02
Sm  0.6303  0.2606  0.4520  0.02
Sm  0.3697  0.7394  0.9520  0.02
N  0.7176  0.4351  0.6381  -0.12
N  0.0000  0.0000  0.5000  -0.07
N  0.2824  0.5649  0.3619  -0.12
N  0.7176  0.4351  0.8619  -0.12
N  0.0000  0.0000  0.0000  -0.07
N  0.4612  0.9224  0.7500  -0.10
N  0.2824  0.5649  0.1381  -0.12
N  0.5388  0.0776  0.2500  -0.10
Ir  0.1477  0.2955  0.2500  -0.10
Ir  0.8523  0.7045  0.7500  -0.10
Pu  0.1144  0.2289  0.7500  4.50
Pu  0.8856  0.7711  0.2500  4.50

=====

[6]
Density functional theory data (PBE-GGA) for a geometry-optimized PuTh2IrN4 structure.

**Final energy**: -157.8 eV/cell
**V**: 15.6 Å³ per atom
**DOS at the Fermi energy**: 18.16 states/eV/cell

Cell lengths 3.4542, 6.2118, 12.1443 Å; angles 90.00, 90.00, 106.14 degrees
Site moments in Bohr magnetons follow the coordinates.
Atoms (fractional coordinates):
Pu  0.8873  0.7746  0.2500  4.79
Pu  0.1127  0.2254  0.7500  4.79
Th  0.3693  0.7386  0.5560  -0.03
Th  0.6307  0.2614  0.4440  -0.03
Th  0.6307  0.2614  0.0560  -0.03
Th  0.3693  0.7386  0.9440  -0.03
N  0.2819  0.5638  0.3716  -0.10
N  0.4623  0.9246  0.7500  -0.07
N  0.5377  0.0754  0.2500  -0.07
N  0.0000  0.0000  0.0000  -0.04
N  0.7181  0.4362  0.6284  -0.10
N  0.7181  0.4362  0.8716  -0.10
N  0.0000  0.0000  0.5000  -0.04
N  0.2819  0.5638  0.1284  -0.10
Ir  0.8477  0.6954  0.7500  -0.12
Ir  0.1523  0.3046  0.2500  -0.12

=====

[7]
Density functional theory data (PBE-GGA) for a geometry-optimized Rb2IrN structure.

**Final energy**: -38.4 eV/cell
**V**: 35.5 Å³ per atom
**DOS at the Fermi energy**: 3.19 states/eV/cell

Cell lengths 12.3185, 12.3185, 8.9095 Å; angles 46.27, 46.27, 90.00 degrees
Atoms (fractional coordinates):
N  0.5000  0.5000  0.0000
N  0.2500  0.7500  0.5000
Ir  0.7500  0.2500  0.5000
Ir  0.0000  0.0000  0.0000
Rb  0.3908  0.1250  0.2500
Rb  0.3592  0.6250  0.2500
Rb  0.3750  0.6092  0.7500
Rb  0.8750  0.6408  0.7500

=====

[8]
Density functional theory data (PBE-GGA) for a geometry-optimized RbIrN structure.

**V**: 17.7 Å³ per atom
**DOS at the Fermi energy**: 7.42 states/eV/cell
**Energy relative to the lowest polymorph listed for this composition**: 0.3421 eV/atom

Cell lengths 5.9634, 5.9634, 5.9634 Å; angles 90.00, 90.00, 90.00 degrees
Atoms (fractional coordinates):
Ir  0.8562  0.8562  0.8562
Ir  0.3562  0.6438  0.1438
Ir  0.6438  0.1438  0.3562
Ir  0.1438  0.3562  0.6438
N  0.0993  0.5993  0.9007
N  0.4007  0.4007  0.4007
N  0.9007  0.0993  0.5993
N  0.5993  0.9007  0.0993
Rb  0.6382  0.3618  0.8618
Rb  0.1382  0.1382  0.1382
Rb  0.3618  0.8618  0.6382
Rb  0.8618  0.6382  0.3618

=====

[9]
Density functional theory data (PBE-GGA) for a geometry-optimized Rb3IrN structure.

**V**: 36.3 Å³ per atom
**DOS at the Fermi energy**: 9.10 states/eV/cell
**Energy relative to the lowest polymorph listed for this composition**: 0.0000 eV/atom

Cell lengths 5.6640, 5.6640, 5.6640 Å; angles 90.00, 90.00, 90.00 degrees
Site moments in Bohr magnetons follow the coordinates.
Atoms (fractional coordinates):
Rb  0.0000  0.5000  0.0000  0.00
Rb  0.5000  0.0000  0.0000  0.00
Rb  0.0000  0.0000  0.5000  0.00
Ir  0.5000  0.5000  0.5000  1.55
N  0.0000  0.0000  0.0000  -0.01

=====

[10]
Density functional theory data (PBE-GGA) for a geometry-optimized RbIr2N2 structure.

**V**: 17.2 Å³ per atom
**DOS at the Fermi energy**: 8.13 states/eV/cell
**Energy relative to the lowest polymorph listed for this composition**: 0.9573 eV/atom

Cell lengths 7.8658, 7.8658, 2.7736 Å; angles 90.00, 90.00, 90.00 degrees
Atoms (fractional coordinates):
Ir  0.1135  0.6135  0.5000
Ir  0.8865  0.3865  0.5000
Ir  0.3865  0.1135  0.5000
Ir  0.6135  0.8865  0.5000
N  0.3958  0.8958  0.0000
N  0.1042  0.3958  0.0000
N  0.6042  0.1042  0.0000
N  0.8958  0.6042  0.0000
Rb  0.0000  0.0000  0.0000
Rb  0.5000  0.5000  0.0000

=====

[11]
Density functional theory data (PBE-GGA) for a geometry-optimized RbIr2N2 structure.

**V**: 17.8 Å³ per atom
**DOS at the Fermi energy**: 3.92 states/eV/cell
**Energy relative to the lowest polymorph listed for this composition**: 0.0000 eV/atom

Cell lengths 3.7999, 3.7999, 6.7150 Å; angles 73.56, 73.56, 90.00 degrees
Atoms (fractional coordinates):
N  0.3280  0.3280  0.3439
N  0.6720  0.6720  0.6561
Ir  0.2500  0.7500  0.5000
Ir  0.7500  0.2500  0.5000
Rb  0.0000  0.0000  0.0000

=====

[12]
Density functional theory data (PBE-GGA) for a geometry-optimized RbIrN structure.

**V**: 18.6 Å³ per atom
**DOS at the Fermi energy**: 1.73 states/eV/cell
**Energy relative to the lowest polymorph listed for this composition**: 0.0000 eV/atom

Cell lengths 5.9124, 3.3048, 3.3048 Å; angles 120.00, 90.00, 90.00 degrees
Atoms (fractional coordinates):
N  0.0925  0.0000  0.0000
Rb  0.7124  0.6667  0.3333
Ir  0.1951  0.3333  0.6667

=====

[13]
Density functional theory data (PBE-GGA) for a geometry-optimized RbTeIrN2 structure.

**V**: 19.4 Å³ per atom
**DOS at the Fermi energy**: 5.17 states/eV/cell
**Energy relative to the lowest polymorph listed for this composition**: 0.0000 eV/atom

Cell lengths 4.1302, 4.1302, 5.6828 Å; angles 90.00, 90.00, 90.00 degrees
Atoms (fractional coordinates):
Ir  0.0000  0.0000  0.0000
N  0.0000  0.5000  0.0000
N  0.5000  0.0000  0.0000
Te  0.0000  0.0000  0.5000
Rb  0.5000  0.5000  0.5000